! SnSe2N PBEsol relaxed; values from VASP
&SYSTEM
  ibrav = 0, nat = 4, ntyp = 3
/
ATOMIC_SPECIES
Sn 118.71 Sn.upf
N 14.01 N.upf
Se 78.96 Se.upf
ATOMIC_POSITIONS crystal
Sn 0.500 0.500 0.500
N 0.000 0.000 0.000
Se 0.922 0.922 0.235
Se 0.078 0.078 0.765
CELL_PARAMETERS angstrom
-0.252 -0.890 -3.680
-0.814 -3.557 -1.041
-7.605 0.145 -1.470
! E_tot: -4.522 eV per atom
! Theoretical density: 5.208 Mg/m³
! Energy relative to the elements, uncorrected: 231 kJ/mol of formula units
! DOS at the Fermi energy: 1.75 states/eV/f.u.



! Al2ReIrW PBEsol relaxed; values from VASP
&SYSTEM
  ibrav = 0, nat = 5, ntyp = 4
/
ATOMIC_SPECIES
Al 26.98 Al.upf
W 183.84 W.upf
Re 186.21 Re.upf
Ir 192.22 Ir.upf
ATOMIC_POSITIONS crystal
Al 0.500 0.000 0.000
W 0.000 0.000 0.500
Re 0.000 0.000 0.000
Al 0.000 0.500 0.000
Ir 0.500 0.500 0.500
CELL_PARAMETERS angstrom
4.547 0.000 0.000
0.000 4.547 0.000
0.000 0.000 4.653
! E_tot: -7.537 eV per atom
! Theoretical density: 10.639 Mg/m³
! DOS at the Fermi energy: 6.08 states/eV/f.u.



! TaRu2W PBEsol relaxed; values from VASP
&SYSTEM
  ibrav = 0, nat = 4, ntyp = 3
/
ATOMIC_SPECIES
Ru 101.07 Ru.upf
W 183.84 W.upf
Ta 180.95 Ta.upf
ATOMIC_POSITIONS crystal
Ru 0.000 0.000 0.255
Ru 0.000 0.000 0.745
W 0.500 0.500 0.500
Ta 0.500 0.500 0.000
CELL_PARAMETERS angstrom
-0.061 -2.858 0.493
-0.214 -0.607 -3.545
5.734 -0.177 -0.315
! E_tot: -11.718 eV per atom
! Theoretical density: 15.679 Mg/m³
! DOS at the Fermi energy: 4.39 states/eV/f.u.
! Energy relative to the lowest polymorph listed for this composition: 0.0 meV/atom



! CdAsPt5 PBEsol relaxed; values from VASP
&SYSTEM
  ibrav = 0, nat = 7, ntyp = 3
/
ATOMIC_SPECIES
Cd 112.41 Cd.upf
Pt 195.08 Pt.upf
As 74.92 As.upf
ATOMIC_POSITIONS crystal
Cd 0.500 0.500 0.000
Pt 0.000 0.500 0.714
Pt 0.000 0.000 0.000
As 0.000 0.000 0.500
Pt 0.500 0.000 0.286
Pt 0.000 0.500 0.286
Pt 0.500 0.000 0.714
CELL_PARAMETERS angstrom
3.964 0.000 0.000
0.000 3.964 0.000
0.000 0.000 7.158
! E_tot: -6.108 eV per atom
! Theoretical density: 17.167 Mg/m³
! DOS at the Fermi energy: 3.58 states/eV/f.u.



! AlW2Au PBEsol relaxed; values from VASP
&SYSTEM
  ibrav = 0, nat = 4, ntyp = 3
/
ATOMIC_SPECIES
W 183.84 W.upf
Al 26.98 Al.upf
Au 196.97 Au.upf
ATOMIC_POSITIONS crystal
W 0.000 0.000 0.998
W 0.500 0.500 0.261
Al 0.000 0.000 0.499
Au 0.500 0.500 0.742
CELL_PARAMETERS angstrom
2.724 0.000 0.000
0.000 2.724 0.000
0.000 0.000 8.443
! E_tot: -8.751 eV per atom
! Theoretical density: 15.685 Mg/m³
! DOS at the Fermi energy: 2.38 states/eV/f.u.



! TaTcNi2 PBEsol relaxed; values from VASP
&SYSTEM
  ibrav = 0, nat = 4, ntyp = 3
/
ATOMIC_SPECIES
Tc 98.00 Tc.upf
Ni 58.69 Ni.upf
Ta 180.95 Ta.upf
ATOMIC_POSITIONS crystal
Tc 0.250 0.750 0.500
Ni 0.000 0.000 0.000
Ta 0.500 0.500 0.000
Ni 0.750 0.250 0.500
CELL_PARAMETERS angstrom
3.729 0.000 0.000
0.000 3.729 0.000
-1.865 -1.865 3.756
! E_tot: -9.106 eV per atom
! Theoretical density: 12.600 Mg/m³
! DOS at the Fermi energy: 7.21 states/eV/f.u.
! Energy relative to the lowest polymorph listed for this composition: 62.0 meV/atom



Which of these has the highest E_tot?
SnSe2N